1.
Density functional theory data (PBE) for an optimized crystal structure of PrHoPt.

Results
**Energy relative to the lowest polymorph listed for this composition**: 54.6 meV per atom
**Formation energy from the elements**: -0.837 eV per atom

Unit cell a=7.260 b=4.877 c=9.123 alpha=90.00 beta=90.00 gamma=90.00
Space group Pnma (No. 62)
One atom of each set of equivalent atoms:
1 Pr 0.145 0.250 0.089
2 Ho 0.004 0.250 0.659
3 Pt 0.226 0.250 0.409

***

2.
Density functional theory data (PBE) for an optimized crystal structure of LaGdCd6.

Results
**Formation energy from the elements**: -0.317 eV per atom

Unit cell a=5.167 b=7.306 c=5.167 alpha=90.00 beta=90.00 gamma=90.00
Space group Pmm2 (No. 25)
One atom of each set of equivalent atoms:
1 La 0.000 0.000 0.000
2 Gd 0.500 0.500 0.492
3 Cd 0.000 0.257 0.501
4 Cd 0.000 0.500 0.000
5 Cd 0.500 0.000 0.494
6 Cd 0.500 0.257 0.992

***

3.
Density functional theory data (PBE) for an optimized crystal structure of GePOsO.

Results
**Energy relative to the lowest polymorph listed for this composition**: 1009.3 meV per atom

Unit cell a=4.229 b=4.229 c=5.851 alpha=90.00 beta=90.00 gamma=90.00
Space group P4/nmm (No. 129, origin choice 2)
One atom of each set of equivalent atoms:
1 Ge 0.250 0.750 0.000
2 P 0.250 0.250 0.253
3 Os 0.250 0.250 0.657
4 O 0.250 0.750 0.500